No. 1
An optimized crystal structure of PrZnGe2Pt5, computed with GGA-PBE.

Lattice parameters (Å, degrees): 4.273 4.273 9.087 90.00 90.00 90.00
Atoms (fractional coordinates):
Pr 0.000 0.000 0.000
Zn 0.000 0.000 0.500
Ge 0.500 0.500 0.370
Ge 0.500 0.500 0.630
Pt 0.000 0.500 0.237
Pt 0.000 0.500 0.763
Pt 0.500 0.000 0.237
Pt 0.500 0.000 0.763
Pt 0.500 0.500 0.000

- ΔH_f (0 K): -4.3 eV/f.u.

***

No. 2
An optimized crystal structure of CeSbPdPt, computed with GGA-PBE.

Lattice parameters (Å, degrees): 4.898 4.898 4.898 60.00 60.00 60.00
Atoms (fractional coordinates):
Ce 0.000 0.000 0.000
Sb 0.500 0.500 0.500
Pd 0.750 0.750 0.750
Pt 0.250 0.250 0.250

- Formation energy from raw total energies: -789 meV per atom

***

No. 3
An optimized crystal structure of Tm2SnB2Ru5, computed with GGA-PBE.

Lattice parameters (Å, degrees): 9.691 9.691 3.132 90.00 90.00 90.00
Atoms (fractional coordinates):
Tm 0.177 0.323 0.000
Tm 0.323 0.823 0.000
Tm 0.677 0.177 0.000
Tm 0.823 0.677 0.000
Sn 0.000 0.000 0.000
Sn 0.500 0.500 0.000
B 0.122 0.622 0.000
B 0.378 0.122 0.000
B 0.622 0.878 0.000
B 0.878 0.378 0.000
Ru 0.000 0.500 0.500
Ru 0.070 0.776 0.500
Ru 0.224 0.070 0.500
Ru 0.276 0.570 0.500
Ru 0.430 0.276 0.500
Ru 0.500 0.000 0.500
Ru 0.570 0.724 0.500
Ru 0.724 0.430 0.500
Ru 0.776 0.930 0.500
Ru 0.930 0.224 0.500

- ΔH_f (0 K): -5.1 eV/f.u.

***

No. 4
An optimized crystal structure of LaCdCu2, computed with GGA-PBE.

Lattice parameters (Å, degrees): 3.318 3.318 7.309 90.00 90.00 90.00
Atoms (fractional coordinates):
La 0.000 0.000 0.000
Cd 0.500 0.500 0.352
Cu 0.000 0.000 0.571
Cu 0.500 0.500 0.724

- ΔH_f (0 K): -0.2 eV/f.u.

***

No. 5
An optimized crystal structure of Na3ZnPb, computed with GGA-PBE.

Lattice parameters (Å, degrees): 5.473 5.473 5.473 90.00 90.00 90.00
Atoms (fractional coordinates):
Na 0.000 0.000 0.500
Na 0.000 0.500 0.000
Na 0.500 0.000 0.000
Zn 0.000 0.000 0.000
Pb 0.500 0.500 0.500

- Relative energy among the computed polymorphs: 272 meV/atom
- ΔH_f (0 K): 1.1 eV/f.u.

***

No. 6
An optimized crystal structure of PrY3Er7, computed with GGA-PBE.

Lattice parameters (Å, degrees): 8.398 8.398 5.773 110.03 110.03 83.04
Atoms (fractional coordinates):
Pr 0.000 0.000 0.000
Y 0.295 0.705 0.500
Y 0.500 0.500 0.000
Y 0.705 0.295 0.500
Er 0.000 0.000 0.500
Er 0.098 0.485 0.791
Er 0.292 0.292 0.293
Er 0.485 0.098 0.791
Er 0.515 0.902 0.209
Er 0.708 0.708 0.707
Er 0.902 0.515 0.209

- Relative energy among the computed polymorphs: 107 meV/atom
- ΔH_f (0 K): 2.9 eV/f.u.

***

No. 7
An optimized crystal structure of TbPF, computed with GGA-PBE.

Lattice parameters (Å, degrees): 3.930 3.930 7.413 95.46 95.46 89.96
Atoms (fractional coordinates):
Tb 0.088 0.088 0.250
Tb 0.912 0.912 0.750
P 0.411 0.411 0.626
P 0.589 0.589 0.374
F 0.219 0.219 0.978
F 0.781 0.781 0.022

- Formation energy from raw total energies: -2310 meV per atom
- Relative energy among the computed polymorphs: 0 meV/atom

***

No. 8
An optimized crystal structure of Hf4Si2P, computed with GGA-PBE.

Lattice parameters (Å, degrees): 6.612 6.612 6.515 117.61 117.61 33.06
Atoms (fractional coordinates):
Hf 0.113 0.113 0.314
Hf 0.382 0.382 0.236
Hf 0.618 0.618 0.764
Hf 0.887 0.887 0.686
Si 0.262 0.262 0.771
Si 0.738 0.738 0.229
P 0.500 0.500 0.000

- Formation energy from raw total energies: -560 meV per atom